## Nd4HgBi2 (GGA-PBE)

Data for a relaxed Nd4HgBi2 crystal.

Values from the calculation:
Size of the total moment (μB/f.u.): 0.55
Density of states at the Fermi level (states/eV/f.u.): 6.4
E_tot (eV/atom): -4.369
ρ (kg/m3): 7957
Symmetry: No. 12

```
Nd4HgBi2
1.0
4.404 0.000 0.000
0.000 7.841 0.002
-2.202 -3.824 7.225
Nd Bi Hg
4 2 1
Cartesian
2.202 -1.097 5.562 Nd
0.000 5.113 1.665 Nd
0.000 2.438 5.510 Nd
2.202 1.579 1.716 Nd
0.000 -0.026 3.488 Bi
2.202 4.043 3.739 Bi
0.000 0.000 0.000 Hg
```